Material: Sr2LiMoO5
Method: DFT, PBE+U
State: relaxed

```
Sr2LiMoO5
1.0
1.656 -7.026 0.000
1.656 7.026 0.000
0.000 0.000 10.615
Sr Li Mo O
4 2 2 10
Cartesian
1.656 5.633 5.308
1.656 5.243 1.314
1.656 -5.243 6.621
1.656 -5.633 0.000
1.656 0.734 2.760
1.656 -0.734 8.067
1.656 4.098 8.853
1.656 -4.098 3.546
1.656 5.966 9.069
1.656 3.079 4.883
1.656 2.785 2.244
1.656 2.174 8.705
1.656 0.022 6.354
1.656 -0.022 1.046
1.656 -2.174 3.397
1.656 -2.785 7.552
1.656 -3.079 10.191
1.656 -5.966 3.761
```

Properties
Total moment, μB per cell: 1.85
Space-group type: Cmc2_1, No. 36
Energy, eV/atom: -6.398
Crystal system: orthorhombic